# SrUZnN3 GGA-PBE optimized geometry
data_SrUZnN3
_cell_length_a 6.490
_cell_length_b 3.594
_cell_length_c 8.739
_cell_angle_alpha 90.00
_cell_angle_beta 105.25
_cell_angle_gamma 90.00
_symmetry_space_group_name_H-M 'P 1 21/m 1'
_symmetry_Int_Tables_number 11
loop_
_symmetry_equiv_pos_as_xyz
'x,y,z'
'-x,-y,-z'
'-x,y+1/2,-z'
'x,-y+1/2,z'
loop_
_atom_site_label
_atom_site_type_symbol
_atom_site_fract_x
_atom_site_fract_y
_atom_site_fract_z
Sr1 Sr 0.158 0.250 0.201
U1 U 0.357 0.250 0.832
Zn1 Zn 0.160 0.750 0.553
N1 N 0.029 0.250 0.666
N2 N 0.301 0.750 0.991
N3 N 0.439 0.750 0.711
# - E_tot: -88.9 eV per cell
# - Formation energy (no corrections): -5.22 eV/f.u.